PmBeGe2Os | GGA-PBE | relaxed

Magnetic moment ... 0.00 μB/f.u.
DFT formation energy ... -0.32 eV/atom
Calculated volume ... 87.4 Å³ per cell
E_tot ... -0.22434 hartree per atom

The structure in POSCAR format:
```
PmBeGe2Os
1.0
-1.9931 1.9931 5.5032
1.9931 -1.9931 5.5032
1.9931 1.9931 -5.5032
Pm Be Ge Os
1 1 2 1
direct
0.0000 0.0000 0.0000
0.2500 0.7500 0.5000
0.3787 0.3787 0.0000
0.6213 0.6213 0.0000
0.7500 0.2500 0.5000
```



LiCoSbIr | GGA-PBE | relaxed

Magnetic moment ... 0.30 μB/f.u.
Calculated volume ... 56.3 Å³ per cell
Raw formation energy ... -0.19 eV per atom
E_tot ... -0.20904 hartree per atom

The structure in POSCAR format:
```
LiCoSbIr
1.0
0.0000 3.0426 3.0426
3.0426 0.0000 3.0426
3.0426 3.0426 0.0000
Li Co Sb Ir
1 1 1 1
direct
0.0000 0.0000 0.0000
0.7500 0.7500 0.7500
0.5000 0.5000 0.5000
0.2500 0.2500 0.2500
```